# 1
PmPrSm2S4: optimized geometry, PBE.

Values from the calculation:
Space group: P2/m (10)
Formation energy from raw total energies: -2023.4 meV/atom

Geometry as extended XYZ:
```
8
Lattice="-1.4463 -3.5996 0.9934 6.1820 -2.9254 -1.5999 4.0591 -0.0523 5.7203" Properties=species:S:1:pos:R:3 pbc="T T T"
Pm 5.1205 -1.4888 2.0602
Pr 6.4270 -3.3148 5.4170
Sm 4.0591 -0.0523 5.7203
Sm 1.3064 -1.8259 3.3568
S 7.7017 -2.2528 3.0502
S 1.0931 -4.3245 2.0636
S 4.9610 -4.0202 0.7268
S 3.8338 -2.5571 4.3870
```

# 2
PmPr3Sm4S8: optimized geometry, PBE.

Values from the calculation:
Space group: R-3m (166)
Formation energy from raw total energies: -2019.9 meV/atom

Geometry as extended XYZ:
```
16
Lattice="-6.2596 -0.4012 -5.1095 4.5012 -4.3264 -5.1747 -0.8584 -2.4825 7.6513" Properties=species:S:1:pos:R:3 pbc="T T T"
Pm 2.2506 -2.1632 -2.5873
Pr -0.8792 -2.3638 -5.1421
Pr -1.3084 -3.6050 -1.3165
Pr 1.8214 -3.4044 1.2383
Sm -3.1298 -0.2006 -2.5547
Sm -3.5590 -1.4418 1.2709
Sm 0.0000 0.0000 0.0000
Sm -0.4292 -1.2412 3.8256
S 1.8321 -3.3916 -5.1519
S 1.4068 -4.6216 -1.3606
S -0.8860 -2.3657 1.2712
S -1.3257 -3.5940 -7.7295
S -1.2911 -3.6161 5.0966
S -1.7307 -4.8444 -3.9041
S -4.0235 -2.5885 -1.2723
S -4.4488 -3.8185 2.5190
```

# 3
PmPr4Sm3S8: optimized geometry, PBE.

Values from the calculation:
Space group: R-3m (166)
Formation energy from raw total energies: -2020.5 meV/atom

Geometry as extended XYZ:
```
16
Lattice="-6.2589 2.1391 -4.6876 -4.7464 0.5536 6.5901 6.9354 4.1827 -0.3412" Properties=species:S:1:pos:R:3 pbc="T T T"
Pm -2.3732 0.2768 3.2951
Pr -3.1295 1.0696 -2.3438
Pr 0.3383 3.1609 -2.5144
Pr 0.0000 0.0000 0.0000
Pr 3.4677 2.0913 -0.1706
Sm -5.5027 1.3464 0.9513
Sm -2.0349 3.4377 0.7807
Sm 1.0945 2.3681 3.1245
S 1.8223 5.0965 3.3857
S -1.6333 3.0126 3.5557
S 0.6957 2.8029 0.3502
S -1.2963 6.1624 1.0500
S -2.7735 0.7130 0.5114
S -4.7655 4.0726 1.2111
S -2.4365 3.8628 -1.9943
S -5.8922 1.7789 -1.8243
```

# 4
Pm2PrSmS4: optimized geometry, PBE.

Values from the calculation:
Space group: P2/m (10)
Formation energy from raw total energies: -2024.8 meV/atom

Geometry as extended XYZ:
```
8
Lattice="4.0133 0.0000 0.0000 0.0000 7.0168 -0.1581 0.0000 2.4523 6.5969" Properties=species:S:1:pos:R:3 pbc="T T T"
Pm 0.0000 2.4523 6.5969
Pm 2.0067 1.2261 3.2985
Pr 2.0067 3.5084 -0.0791
Sm 0.0000 4.7345 3.2194
S 0.0001 7.1139 4.7945
S 4.0133 2.3552 1.6443
S 2.0067 5.8880 1.5553
S 2.0067 3.5811 4.8835
```

# 5
PmPrSm4S8: optimized geometry, PBE.

Values from the calculation:
Space group: R3m (160)
Formation energy from raw total energies: -1916.0 meV/atom

Geometry as extended XYZ:
```
14
Lattice="8.2722 0.0000 0.0000 4.1361 7.1639 0.0000 4.1361 2.3880 6.7643" Properties=species:S:1:pos:R:3 pbc="T T T"
Pm 12.4083 7.1639 0.0097
Pr 8.2722 4.7759 5.9243
Sm 8.2722 4.7759 0.8435
Sm 12.4083 4.7871 3.3780
Sm 10.3499 8.3523 3.3780
Sm 14.4666 8.3523 3.3780
S 8.2722 7.3409 4.9973
S 10.4935 3.4934 4.9973
S 6.0508 3.4934 4.9973
S 4.1361 2.3880 1.8927
S 8.2722 2.2561 1.7493
S 6.0899 6.0359 1.7493
S 10.4544 6.0359 1.7493
S 12.4083 7.1639 4.9237
```

# 6
Pm4PrSmS8: optimized geometry, PBE.

Values from the calculation:
Space group: R3m (160)
Formation energy from raw total energies: -1916.1 meV/atom

Geometry as extended XYZ:
```
14
Lattice="-1.6156 -1.6069 7.9834 6.2179 -1.6925 5.2345 2.1125 5.4888 5.8491" Properties=species:S:1:pos:R:3 pbc="T T T"
Pm 3.1409 -1.3711 8.9934
Pm 2.5583 0.2874 13.5261
Pm 6.4601 0.2448 12.1569
Pm 5.6554 -0.5556 16.1335
Pr 3.5741 3.5629 10.0741
Sm 4.6030 -3.2916 13.2195
S 6.0184 2.3711 10.3289
S 1.8022 2.4172 11.8084
S 2.6718 3.2820 7.5115
S 1.6945 0.7269 4.8061
S 0.7279 -0.1993 8.7409
S 4.8894 -0.2447 7.2806
S 4.0312 -1.0984 11.5217
S 5.0237 1.5010 14.2693
```

# 7
Pm2Pr3SmS6: optimized geometry, PBE.

Values from the calculation:
Space group: C2/m (12)
Formation energy from raw total energies: -2030.1 meV/atom

Geometry as extended XYZ:
```
12
Lattice="7.0416 -0.0104 -0.0009 -3.5281 6.0940 -0.0009 -1.1729 -2.0309 6.6487" Properties=species:S:1:pos:R:3 pbc="T T T"
Pm -0.0050 4.0593 -0.0009
Pm 3.5185 2.0243 -0.0009
Pr -2.3459 4.0571 3.3235
Pr 4.6865 -0.0044 3.3235
Pr 1.1703 2.0264 3.3235
Sm 0.0000 0.0000 0.0000
S 3.5126 2.0310 5.0348
S 2.3468 4.0634 1.6157
S -1.1720 2.0217 1.6122
S 0.0038 4.0575 5.0348
S -0.0062 -0.0107 5.0312
S 2.3368 -0.0048 1.6122
```

# 8
Pm3Pr4SmS8: optimized geometry, PBE.

Values from the calculation:
Space group: R-3m (166)
Formation energy from raw total energies: -2022.6 meV/atom

Geometry as extended XYZ:
```
16
Lattice="-2.3282 -4.5240 6.3330 2.7545 -6.6822 -3.7607 4.9523 6.3373 1.1373" Properties=species:S:1:pos:R:3 pbc="T T T"
Pm 0.2131 -5.6031 1.2862
Pm 2.6893 -2.4344 1.8548
Pm 3.8534 -0.1724 -1.3117
Pr -1.1641 -2.2620 3.1665
Pr 1.3120 0.9067 3.7352
Pr 0.0000 0.0000 0.0000
Pr 2.4762 3.1687 0.5687
Sm 1.3773 -3.3411 -1.8804
S 6.3992 0.2319 -0.0961
S 3.9148 -2.9478 -0.6666
S 2.6195 0.3396 1.2056
S 5.2310 -2.0381 3.0816
S 0.1476 -2.8308 0.6280
S 2.7591 -5.2085 2.5040
S 1.4638 -1.9210 4.3762
S -1.0206 -5.1008 3.8058
```

# 9
Pm4Pr3SmS8: optimized geometry, PBE.

Values from the calculation:
Space group: R-3m (166)
Formation energy from raw total energies: -2022.5 meV/atom

Geometry as extended XYZ:
```
16
Lattice="-7.6293 2.1753 -1.7099 -2.3045 -7.7755 0.3902 3.8812 3.3976 6.2643" Properties=species:S:1:pos:R:3 pbc="T T T"
Pm -3.8146 1.0877 -0.8549
Pm -1.8740 2.7865 2.2772
Pm 0.0000 0.0000 0.0000
Pm 1.9406 1.6988 3.1321
Pr -4.9669 -2.8001 -0.6598
Pr -3.0263 -1.1013 2.4723
Pr 0.7883 -2.1889 3.3273
Sm -1.1522 -3.8877 0.1951
S -3.6200 -5.3028 -0.1035
S -1.7037 -3.6252 2.9895
S -0.5273 0.3317 2.7748
S -7.4823 -4.2016 -0.9691
S 1.4297 1.9990 5.9138
S -5.5253 -2.5342 2.1699
S -4.3489 1.4227 1.9551
S -2.4326 3.1002 5.0482
```

# 10
Sr3PmPr3S8: optimized geometry, PBE.

Values from the calculation:
Space group: R-3m (166)
Formation energy from raw total energies: -2063.5 meV/atom

Geometry as extended XYZ:
```
15
Lattice="8.2782 0.0000 0.0000 -4.1391 7.1689 -0.0254 0.0000 -4.7550 6.9549" Properties=species:S:1:pos:R:3 pbc="T T T"
Sr 0.0000 0.0000 0.0000
Sr -2.0695 3.5844 -0.0127
Sr 2.0696 3.5845 -0.0127
Pm 0.0000 -2.3775 3.4774
Pr 4.1391 -2.3775 3.4774
Pr 2.0695 1.2069 3.4647
Pr -2.0695 1.2069 3.4647
S 0.0000 2.3959 1.7806
S 4.1391 0.0180 5.1489
S 4.1391 2.4474 1.8506
S 0.0000 -0.0335 5.0788
S 6.2532 -1.2141 1.8637
S -2.1141 3.6280 5.0657
S 2.0250 -1.2141 1.8637
S 2.1141 3.6280 5.0657
```

# 11
Sr2PmPrS4: optimized geometry, PBE.

Values from the calculation:
Space group: P2/m (10)
Formation energy from raw total energies: -2050.8 meV/atom

Geometry as extended XYZ:
```
8
Lattice="-2.5617 -2.7837 -1.6567 5.1960 -4.8992 0.1978 -3.7638 -0.2614 6.2590" Properties=species:S:1:pos:R:3 pbc="T T T"
Sr -3.1627 -1.5226 2.3012
Sr 0.7161 -2.5803 3.2284
Pm 0.0000 0.0000 0.0000
Pr 1.3172 -3.8415 -0.7294
S -0.9159 -2.6487 0.7192
S -0.2136 -5.2957 4.0810
S -1.5571 -1.4213 4.7958
S 2.9893 -3.7394 1.6611
```

# 12
SrPm2Pr3S6: optimized geometry, PBE.

Values from the calculation:
Space group: C2/m (12)
Formation energy from raw total energies: -2025.4 meV/atom

Geometry as extended XYZ:
```
12
Lattice="7.0980 -0.0034 0.0023 -3.5503 6.1464 0.0023 -1.1809 -2.0446 6.7127" Properties=species:S:1:pos:R:3 pbc="T T T"
Sr 0.0000 0.0000 0.0000
Pm -0.0028 4.0976 0.0023
Pm 3.5506 2.0453 0.0023
Pr -2.3933 4.1148 3.3587
Pr 4.7602 -0.0166 3.3587
Pr 1.1835 2.0491 3.3587
S 3.5664 2.0214 5.0505
S 2.3499 4.0689 1.6386
S -1.1995 2.0769 1.6669
S -0.0315 4.0993 5.0505
S 0.0170 0.0294 5.0788
S 2.3984 -0.0010 1.6669
```

# 13
SrPm2PrS4: optimized geometry, PBE.

Values from the calculation:
Space group: P2/m (10)
Formation energy from raw total energies: -2032.8 meV/atom

Geometry as extended XYZ:
```
8
Lattice="4.0761 0.0000 0.0000 0.0000 7.1120 -0.1634 0.0000 2.4823 6.6718" Properties=species:S:1:pos:R:3 pbc="T T T"
Sr 2.0381 3.5560 -0.0817
Pm 0.0000 2.4823 6.6718
Pm 2.0381 1.2412 3.3359
Pr 0.0000 4.7971 3.2542
S 0.0001 7.2488 4.8483
S 4.0761 2.3456 1.6601
S 2.0381 6.0001 1.5331
S 2.0381 3.5943 4.9753
```

# 14
Tb2PmPr3S6: optimized geometry, PBE.

Values from the calculation:
Space group: C2/m (12)
Formation energy from raw total energies: -2024.3 meV/atom

Geometry as extended XYZ:
```
12
Lattice="-3.2553 -5.1586 3.3706 6.6727 1.4377 1.4062 -3.0537 5.5195 3.1011" Properties=species:S:1:pos:R:3 pbc="T T T"
Tb 3.3614 -0.7624 2.0614
Tb 0.0560 -2.9585 2.7154
Pm 0.0000 0.0000 0.0000
Pr 3.5182 3.1160 3.2788
Pr -3.1545 -1.3174 4.5991
Pr 0.1819 0.8993 3.9390
S -1.4457 0.2940 6.2864
S 1.8071 -1.4515 4.2590
S 1.8094 1.5046 1.5915
S 1.9235 2.5325 5.6198
S -1.4434 3.2501 3.6189
S -1.5598 -0.7339 2.2581
```

# 15
TbPm4PrS8: optimized geometry, PBE.

Values from the calculation:
Space group: R3m (160)
Formation energy from raw total energies: -1919.1 meV/atom

Geometry as extended XYZ:
```
14
Lattice="-8.2775 0.3719 0.1939 -4.4100 -6.7681 1.8539 -4.0028 -0.4933 7.2036" Properties=species:S:1:pos:R:3 pbc="T T T"
Tb -12.6873 -6.3948 2.0533
Pm -8.4294 -4.0545 2.1994
Pm -12.4843 -3.2673 4.7230
Pm -10.5573 -6.8249 5.5502
Pm -14.6816 -6.6396 5.6468
Pr -8.2608 -2.8342 7.0554
S -8.3876 -5.5594 6.8713
S -10.4890 -1.6798 5.9693
S -5.9913 -1.8819 5.8640
S -4.1668 -1.6802 2.4807
S -8.3044 -1.3638 2.3736
S -6.2282 -5.1970 3.2648
S -10.6720 -4.9973 3.3689
S -12.5222 -5.1996 6.8094
```

# 16
Tb3Pm2PrS6: optimized geometry, PBE.

Values from the calculation:
Space group: C2/m (12)
Formation energy from raw total energies: -2024.9 meV/atom

Geometry as extended XYZ:
```
12
Lattice="-0.4527 6.5272 2.1855 0.2769 -5.1713 4.5570 6.6062 -0.0277 -2.1691" Properties=species:S:1:pos:R:3 pbc="T T T"
Tb 3.4594 -3.2519 3.0806
Tb 2.9710 4.5801 1.4929
Tb 3.2152 0.6641 2.2867
Pm 0.0336 -1.2697 3.7661
Pm -0.2094 2.6256 2.9764
Pr 0.0000 0.0000 0.0000
S 4.6185 2.9582 3.0175
S 1.5951 1.0103 4.4930
S 1.8119 -1.6300 1.5560
S 4.8642 -0.9815 3.8162
S 4.8353 0.3179 0.0805
S 1.5662 2.3096 0.7573
```

# 17
Tb2Pm3PrS6: optimized geometry, PBE.

Values from the calculation:
Space group: C2/m (12)
Formation energy from raw total energies: -2025.1 meV/atom

Geometry as extended XYZ:
```
12
Lattice="-0.7478 -1.7485 -6.6869 5.2394 -2.6347 3.7334 -5.2831 -3.5864 2.7305" Properties=species:S:1:pos:R:3 pbc="T T T"
Tb 3.2410 -2.3389 0.2554
Tb 1.2505 -2.0443 -3.2089
Pm 1.6263 -4.2841 3.4076
Pm -2.4178 -3.6855 -3.6306
Pm -0.3958 -3.9848 -0.1115
Pr 0.0000 0.0000 0.0000
S -1.6551 -5.8222 -1.9340
S 2.0324 -4.1053 -1.5169
S 0.8636 -2.1474 1.7110
S 0.3984 -6.1261 1.6399
S -2.8239 -3.8643 1.2939
S -1.1900 -1.8435 -1.8629
```

# 18
TbPm2PrS4: optimized geometry, PBE.

Values from the calculation:
Space group: P2/m (10)
Formation energy from raw total energies: -2017.7 meV/atom

Geometry as extended XYZ:
```
8
Lattice="3.9876 0.0000 0.0000 0.0000 6.9723 -0.1573 0.0000 2.4372 6.5859" Properties=species:S:1:pos:R:3 pbc="T T T"
Tb 0.0000 4.7047 3.2143
Pm 0.0000 2.4372 6.5859
Pm 1.9938 1.2186 3.2929
Pr 1.9938 3.4861 -0.0787
S 0.0001 7.0425 4.7685
S 3.9876 2.3669 1.6600
S 1.9938 5.8248 1.5910
S 1.9938 3.5846 4.8376
```

# 19
Tb4Pm3PrS8: optimized geometry, PBE.

Values from the calculation:
Space group: R-3m (166)
Formation energy from raw total energies: -2018.6 meV/atom

Geometry as extended XYZ:
```
16
Lattice="-4.8576 1.6440 -6.0680 5.5757 -2.5707 -5.1600 -2.4399 -4.7775 5.8598" Properties=species:S:1:pos:R:3 pbc="T T T"
Tb -2.4288 0.8220 -3.0340
Tb -3.6487 -1.5668 -0.1041
Tb 0.0000 0.0000 0.0000
Tb -1.2200 -2.3888 2.9299
Pm 0.3591 -0.4634 -5.6140
Pm -0.8609 -2.8522 -2.6841
Pm 1.5679 -3.6741 0.3499
Pr 2.7879 -1.2854 -2.5800
S 2.9947 -1.5767 -5.4458
S 1.7650 -3.9846 -2.4925
S -1.0661 -2.5630 0.1591
S 0.5854 -0.7613 -8.4555
S -2.3071 -4.9430 3.0874
S -0.6556 -3.1413 -5.5272
S -3.4868 -1.7197 -2.8757
S -4.7165 -4.1276 0.0777
```

# 20
Tb3PmPr4S8: optimized geometry, PBE.

Values from the calculation:
Space group: R-3m (166)
Formation energy from raw total energies: -2017.1 meV/atom

Geometry as extended XYZ:
```
16
Lattice="8.0188 0.0000 0.0000 0.0000 8.1107 0.0592 -4.0094 -4.0052 5.6732" Properties=species:S:1:pos:R:3 pbc="T T T"
Tb 4.0094 4.0553 0.0296
Tb 2.0047 2.0527 2.8662
Tb -2.0047 2.0527 2.8662
Pm 0.0000 4.0553 0.0296
Pr 4.0094 0.0000 0.0000
Pr 2.0047 -2.0026 2.8366
Pr 0.0000 0.0000 0.0000
Pr -2.0047 -2.0026 2.8366
S -1.9749 2.0097 5.6485
S 0.0000 3.9826 2.8540
S 0.0000 0.1211 2.9192
S 1.9749 2.0097 5.6485
S 2.0345 2.0957 0.0839
S 4.0094 3.9843 2.8132
S 4.0094 0.1228 2.8784
S 5.9844 2.0957 0.0839
```